An optimized crystal structure of La3Se2S. Source: Alexandria, functional GGA-PBE.

The uncorrected formation energy is -198 kJ/mol of atoms. Its mass density is 6.12 g/cm3. For the offset from the most stable computed form, the calculation gives 0.000 eV per atom. The value obtained for the total energy is -6.3620 eV/atom.

The structure belongs to space group Immm (No. 71); the cell edges are 4.255, 6.037 and 12.808 Å and the angles 90.00°, 90.00° and 90.00°. Symmetry generates all atoms from La at (0.000, 0.000, 0.000), La at (0.000, 0.000, 0.342), Se at (0.000, 0.500, 0.330) and S at (0.000, 0.500, 0.000).

***

An optimized crystal structure of La3SeS2. Source: Alexandria, functional GGA-PBE.

The uncorrected formation energy is -203 kJ/mol of atoms. Its mass density is 5.87 g/cm3. The value obtained for the total energy is -6.5232 eV/atom.

The structure belongs to space group Immm (No. 71); the cell edges are 4.206, 5.964 and 12.630 Å and the angles 90.00°, 90.00° and 90.00°. Symmetry generates all atoms from La at (0.000, 0.000, 0.000), La at (0.000, 0.000, 0.326), Se at (0.000, 0.500, 0.000) and S at (0.000, 0.500, 0.336).

***

An optimized crystal structure of La2SeS. Source: Alexandria, functional GGA-PBE.

The uncorrected formation energy is -202 kJ/mol of atoms. Its mass density is 6.00 g/cm3. For the offset from the most stable computed form, the calculation gives 0.000 eV per atom. The value obtained for the total energy is -6.4560 eV/atom.

The structure belongs to space group R-3m (No. 166, hexagonal axes); the cell edges are 4.2299, 4.2299 and 20.8336 Å and the angles 90.00°, 90.00° and 120.00°. Symmetry generates all atoms from La at (0.0000, 0.0000, 0.2440), Se at (0.0000, 0.0000, 0.0000) and S at (0.0000, 0.0000, 0.5000).

***

An optimized crystal structure of La2SeS2. Source: Alexandria, functional GGA-PBE.

The uncorrected formation energy is -201 kJ/mol of atoms. Its mass density is 5.35 g/cm3. For the offset from the most stable computed form, the calculation gives 0.030 eV per atom. The value obtained for the total energy is -6.4039 eV/atom.

The structure belongs to space group Cmc2_1 (No. 36); the cell edges are 4.095, 16.622 and 7.670 Å and the angles 90.00°, 90.00° and 90.00°. Symmetry generates all atoms from La at (0.000, 0.042, 0.000), La at (0.000, 0.292, 0.106), Se at (0.000, 0.134, 0.363), S at (0.000, 0.323, 0.488) and S at (0.000, 0.463, 0.208).

***

An optimized crystal structure of LaSeS. Source: Alexandria, functional GGA-PBE.

The uncorrected formation energy is -174 kJ/mol of atoms. Its mass density is 5.72 g/cm3. For the offset from the most stable computed form, the calculation gives 0.039 eV per atom. The value obtained for the total energy is -5.9817 eV/atom.

The structure belongs to space group I4/mmm (No. 139); the cell edges are 4.125, 4.125 and 17.042 Å and the angles 90.00°, 90.00° and 90.00°. Symmetry generates all atoms from La at (0.000, 0.000, 0.144), Se at (0.000, 0.500, 0.000) and S at (0.000, 0.000, 0.316).

***

An optimized crystal structure of La2SeS2. Source: Alexandria, functional GGA-PBE.

The uncorrected formation energy is -193 kJ/mol of atoms. Its mass density is 5.50 g/cm3. For the offset from the most stable computed form, the calculation gives 0.116 eV per atom. The value obtained for the total energy is -6.3183 eV/atom.

The structure belongs to space group P4/mbm (No. 127); the cell edges are 8.036, 8.036 and 3.935 Å and the angles 90.00°, 90.00° and 90.00°. Symmetry generates all atoms from La at (0.170, 0.330, 0.000), Se at (0.000, 0.000, 0.000) and S at (0.136, 0.636, 0.500).

***

An optimized crystal structure of LaSeS3. Source: Alexandria, functional GGA-PBE.

The uncorrected formation energy is -66 kJ/mol of atoms. Its mass density is 4.68 g/cm3. For the offset from the most stable computed form, the calculation gives 0.000 eV per atom. The value obtained for the total energy is -4.8446 eV/atom.

The structure belongs to space group Pm-3m (No. 221); the cell edges are 4.813, 4.813 and 4.813 Å and the angles 90.00°, 90.00° and 90.00°. Symmetry generates all atoms from La at (0.000, 0.000, 0.000), Se at (0.500, 0.500, 0.500) and S at (0.000, 0.500, 0.500).

***

An optimized crystal structure of La2SeS. Source: Alexandria, functional GGA-PBE.

The uncorrected formation energy is -173 kJ/mol of atoms. Its mass density is 6.66 g/cm3. For the offset from the most stable computed form, the calculation gives 0.298 eV per atom. The value obtained for the total energy is -6.1578 eV/atom.

The structure belongs to space group Fm-3m (No. 225); the cell edges are 7.292, 7.292 and 7.292 Å and the angles 90.00°, 90.00° and 90.00°. Symmetry generates all atoms from La at (0.250, 0.250, 0.250), Se at (0.000, 0.000, 0.000) and S at (0.000, 0.000, 0.500).

***

> Which formula does entry 5 have?

LaSeS

***

> Which value of mass density does entry 5 give?

5.72 g/cm3